No. 1
EuDy3Cu: relaxed, PBE.

```
EuDy3Cu
1.0
-3.841 0.281 3.855
2.580 -3.861 2.852
2.878 3.835 2.589
Eu Dy Cu
1 3 1
direct
0.500 0.500 0.500
0.500 0.000 0.000
0.000 0.000 0.500
0.000 0.500 0.000
0.000 0.000 0.000
```

The density of states at the Fermi level comes out at 1.63 states/eV/atom. As for the space group: Pm-3m (221). For the energy of formation, the calculation gives 0.0873 eV per atom. The calculated density comes out at 7.21 g cm⁻³. Its total energy is -27.740 eV/cell.

***

No. 2
CeAl3Zn2: relaxed, PBE.

```
CeAl3Zn2
1.0
0.104 2.816 3.252
5.486 -3.411 5.624
7.589 2.178 0.718
Zn Al Ce
4 6 2
direct
0.187 0.321 0.306
0.480 0.167 0.873
0.520 0.833 0.127
0.813 0.679 0.694
0.374 0.765 0.486
0.019 0.652 0.310
0.319 0.456 0.906
0.626 0.235 0.514
0.681 0.544 0.094
0.981 0.348 0.690
0.849 0.091 0.212
0.151 0.909 0.788
```

The polymorph energy (0 for the lowest one) comes out at 0.17 eV per formula unit. The density of states at the Fermi level comes out at 1.09 states/eV/atom. As for the space group: C2/m (12). For the energy of formation, the calculation gives -0.2482 eV per atom. The calculated density comes out at 5.07 g cm⁻³. Its total energy is -42.398 eV/cell.

***

No. 3
TbDy6Tl2: relaxed, PBE.

```
TbDy6Tl2
1.0
3.693 0.000 0.586
1.614 6.222 1.757
0.016 -0.016 11.820
Dy Tl Tb
6 2 1
direct
0.686 0.504 0.125
0.314 0.496 0.875
0.309 0.796 0.585
0.987 0.681 0.345
0.691 0.204 0.415
0.013 0.319 0.655
0.360 0.072 0.207
0.640 0.928 0.793
0.000 0.000 0.000
```

The polymorph energy (0 for the lowest one) comes out at 0.00 eV per formula unit. The density of states at the Fermi level comes out at 1.29 states/eV/atom. As for the space group: C2/m (12). For the energy of formation, the calculation gives -0.1472 eV per atom. The calculated density comes out at 9.43 g cm⁻³. Its total energy is -38.300 eV/cell.

***

No. 4
CeHoEr2: relaxed, PBE.

```
CeHoEr2
1.0
3.502 0.000 0.000
0.000 3.502 0.000
0.000 0.000 9.921
Ho Ce Er
1 1 2
direct
0.500 0.500 0.500
0.500 0.500 0.000
0.000 0.000 0.753
0.000 0.000 0.247
```

The polymorph energy (0 for the lowest one) comes out at 0.03 eV per formula unit. The density of states at the Fermi level comes out at 1.94 states/eV/atom. As for the space group: P4/mmm (123). For the energy of formation, the calculation gives 0.0618 eV per atom. The calculated density comes out at 8.73 g cm⁻³. Its total energy is -19.390 eV/cell.

***

No. 5
YFeN: relaxed, PBE.

```
YFeN
1.0
-3.101 -0.505 -1.308
0.923 -6.750 0.419
-3.354 3.409 6.637
Y Fe N
4 4 4
direct
0.250 0.042 0.335
0.750 0.958 0.665
0.250 0.542 0.335
0.750 0.458 0.665
0.250 0.839 0.927
0.750 0.161 0.073
0.750 0.661 0.073
0.250 0.339 0.927
0.250 0.706 0.661
0.250 0.206 0.661
0.750 0.294 0.339
0.750 0.794 0.339
```

The value obtained for the uncorrected formation energy is -86.13 kJ/mol of atoms. The density of states at the Fermi level comes out at 0.48 states/eV/atom. As for the space group: P4/nmm (129). The calculated density comes out at 6.11 g cm⁻³. Its total energy is -103.720 eV/cell.

***

No. 6
Pr3AgOs: relaxed, PBE.

```
Pr3AgOs
1.0
7.661 -0.237 -0.177
0.268 8.871 -0.472
0.268 2.053 8.643
Os Pr Ag
4 12 4
direct
0.880 0.698 0.802
0.120 0.302 0.198
0.620 0.198 0.302
0.380 0.802 0.698
0.403 0.181 0.037
0.793 0.434 0.065
0.097 0.680 0.538
0.403 0.462 0.320
0.597 0.819 0.963
0.903 0.320 0.462
0.707 0.935 0.566
0.207 0.566 0.935
0.903 0.037 0.181
0.293 0.065 0.434
0.097 0.963 0.819
0.597 0.538 0.680
0.250 0.825 0.175
0.250 0.325 0.675
0.750 0.675 0.325
0.750 0.175 0.825
```

The polymorph energy (0 for the lowest one) comes out at 0.34 eV per formula unit. The density of states at the Fermi level comes out at 0.79 states/eV/atom. As for the space group: C2/c (15). For the energy of formation, the calculation gives -0.0280 eV per atom. The calculated density comes out at 8.04 g cm⁻³. Its total energy is -114.239 eV/cell.